[1]
DFT (GGA-PBE) results for crystalline Mn2AsRu at its relaxed geometry.

Geometry as POSCAR:
```
Mn2AsRu
1.0
-1.515 2.072 4.115
1.515 -2.072 4.115
1.515 2.072 -4.115
Mn As Ru
2 1 1
direct
0.236 0.236 0.000 Mn
0.764 0.764 0.000 Mn
0.000 0.500 0.500 As
0.500 0.000 0.500 Ru
```

The energy of formation from the pure elements is 0.06 eV per atom. The space group is Immm, No. 71. The energy comes out at -8.006 eV per atom. As for the crystal system: orthorhombic.

[2]
DFT (GGA-PBE) results for crystalline Mn2AsRu at its relaxed geometry.

Geometry as POSCAR:
```
Mn2AsRu
1.0
2.870 0.000 0.000
0.000 4.322 0.000
0.000 0.000 4.417
Mn As Ru
2 1 1
direct
0.000 0.000 0.000 Mn
0.000 0.500 0.280 Mn
0.500 0.000 0.484 As
0.500 0.500 0.788 Ru
```

The energy of formation from the pure elements is -0.01 eV per atom. The space group is Pmm2, No. 25. The energy comes out at -8.072 eV per atom. As for the crystal system: orthorhombic.

Number 1: N(E_F) 4.25 states/eV/f.u.. Number 2: N(E_F) 3.07 states/eV/f.u..